[1]
Here is crystalline NaScNb3 at its relaxed geometry from the Alexandria database. Energies are from GGA-PBE.

Computed properties:
- VASP energy: -29.367 eV per formula unit
- Theoretical density: 4890 kg/m³
- ΔH_f (0 K): 1.70 eV/atom
- V: 23.5 Å³/atom
- DOS(E_F): 10.28 states/eV/f.u.
- Relative energy among the computed polymorphs: 0.0000 eV/atom
- M_tot: 0.00 μB per atom

```
NaScNb3
1.0
4.901 0.000 0.000
0.000 4.901 0.000
0.000 0.000 4.901
Nb Na Sc
3 1 1
Direct
0.000 0.500 0.000
0.500 0.000 0.000
0.000 0.000 0.500
0.500 0.500 0.500
0.000 0.000 0.000
```


[2]
Here is crystalline NaSc3Nb at its relaxed geometry from the Alexandria database. Energies are from GGA-PBE.

Computed properties:
- VASP energy: -27.460 eV per formula unit
- Theoretical density: 2902 kg/m³
- ΔH_f (0 K): 0.58 eV/atom
- V: 28.7 Å³/atom
- DOS(E_F): 5.30 states/eV/f.u.
- Relative energy among the computed polymorphs: 0.0000 eV/atom
- M_tot: 0.00 μB per atom

```
NaSc3Nb
1.0
-1.146 2.498 -4.456
-4.978 0.478 1.548
1.146 4.576 2.271
Sc Nb Na
3 1 1
Direct
0.000 0.000 0.500
0.500 0.000 0.000
0.000 0.500 0.000
0.000 0.000 0.000
0.500 0.500 0.500
```


[3]
Here is crystalline Na2ScNbSi at its relaxed geometry from the Alexandria database. Energies are from GGA-PBE.

Computed properties:
- Formation energy without anion corrections: 34.592 kcal/mol of atoms
- VASP energy: -16.962 eV per formula unit
- Theoretical density: 2636 kg/m³
- V: 26.7 Å³/atom
- DOS(E_F): 4.41 states/eV/f.u.
- M_tot: 0.00 μB per atom

```
Na2ScNbSi
1.0
-1.517 4.746 -1.622
-2.798 -2.058 -3.403
-4.008 -0.129 3.373
Nb Na Sc Si
1 2 1 1
Direct
0.000 0.500 0.000
0.000 0.000 0.500
0.500 0.000 0.000
0.000 0.000 0.000
0.500 0.500 0.500
```


[4]
Here is crystalline Na2ScNbSn at its relaxed geometry from the Alexandria database. Energies are from GGA-PBE.

Computed properties:
- VASP energy: -17.481 eV per formula unit
- Theoretical density: 3399 kg/m³
- ΔH_f (0 K): 1.11 eV/atom
- V: 29.6 Å³/atom
- DOS(E_F): 4.12 states/eV/f.u.
- M_tot: 0.00 μB per atom

```
Na2ScNbSn
1.0
5.264 0.000 0.000
0.000 5.264 0.000
0.000 0.000 5.335
Na Sn Nb Sc
2 1 1 1
Direct
0.000 0.500 0.000
0.500 0.000 0.000
0.000 0.000 0.500
0.000 0.000 0.000
0.500 0.500 0.500
```


[5]
Here is crystalline Na2ScTaNb at its relaxed geometry from the Alexandria database. Energies are from GGA-PBE.

Computed properties:
- VASP energy: -20.462 eV per formula unit
- Theoretical density: 4547 kg/m³
- ΔH_f (0 K): 2.09 eV/atom
- V: 26.6 Å³/atom
- DOS(E_F): 6.80 states/eV/f.u.
- M_tot: 0.00 μB per atom

```
Na2ScTaNb
1.0
-1.983 -0.356 4.817
-2.555 -3.942 -1.342
3.985 -3.064 1.414
Sc Nb Ta Na
1 1 1 2
Direct
0.000 0.500 0.000
0.500 0.500 0.500
0.000 0.000 0.000
0.000 0.000 0.500
0.500 0.000 0.000
```


[6]
Here is crystalline NaSc2NbV at its relaxed geometry from the Alexandria database. Energies are from GGA-PBE.

Computed properties:
- VASP energy: -26.715 eV per formula unit
- Theoretical density: 3842 kg/m³
- ΔH_f (0 K): 1.29 eV/atom
- V: 22.2 Å³/atom
- DOS(E_F): 6.43 states/eV/f.u.
- M_tot: 0.00 μB per atom

```
NaSc2NbV
1.0
4.710 0.000 0.000
0.000 5.003 0.000
0.000 0.000 4.710
Na Sc Nb V
1 2 1 1
Direct
0.000 0.500 0.000
0.000 0.000 0.500
0.500 0.000 0.000
0.500 0.500 0.500
0.000 0.000 0.000
```


[7]
Here is crystalline NaNb2Se3 at its relaxed geometry from the Alexandria database. Energies are from GGA-PBE.

Computed properties:
- Formation energy without anion corrections: -16.794 kcal/mol of atoms
- VASP energy: -36.282 eV per formula unit
- Theoretical density: 5178 kg/m³
- V: 23.8 Å³/atom
- DOS(E_F): 2.38 states/eV/f.u.
- M_tot: 0.00 μB per atom

```
NaNb2Se3
1.0
3.731 0.000 0.000
0.000 7.811 -0.921
-1.866 -3.169 10.182
Nb Se Na
4 6 2
Direct
0.304 0.582 0.609
0.915 0.778 0.830
0.696 0.418 0.391
0.085 0.222 0.170
0.048 0.871 0.096
0.219 0.216 0.438
0.781 0.784 0.562
0.582 0.453 0.163
0.418 0.547 0.837
0.952 0.129 0.904
0.652 0.869 0.303
0.348 0.131 0.697
```


[8]
Here is crystalline NaNb6Se8 at its relaxed geometry from the Alexandria database. Energies are from GGA-PBE.

Computed properties:
- Formation energy without anion corrections: -18.473 kcal/mol of atoms
- VASP energy: -101.630 eV per formula unit
- Theoretical density: 5881 kg/m³
- V: 22.8 Å³/atom
- DOS(E_F): 6.99 states/eV/f.u.
- Relative energy among the computed polymorphs: 0.0748 eV/atom
- M_tot: 0.00 μB per atom

```
NaNb6Se8
1.0
6.992 0.156 0.161
-0.062 6.993 0.161
-0.062 -0.064 6.995
Se Nb Na
8 6 1
Direct
0.772 0.772 0.772
0.129 0.747 0.398
0.871 0.253 0.602
0.228 0.228 0.228
0.747 0.398 0.129
0.398 0.129 0.747
0.602 0.871 0.253
0.253 0.602 0.871
0.450 0.787 0.590
0.590 0.450 0.787
0.410 0.550 0.213
0.787 0.590 0.450
0.550 0.213 0.410
0.213 0.410 0.550
0.000 0.000 0.000
```


Repeat the fourth record exactly.
Here is crystalline Na2ScNbSn at its relaxed geometry from the Alexandria database. Energies are from GGA-PBE.

Computed properties:
- VASP energy: -17.481 eV per formula unit
- Theoretical density: 3399 kg/m³
- ΔH_f (0 K): 1.11 eV/atom
- V: 29.6 Å³/atom
- DOS(E_F): 4.12 states/eV/f.u.
- M_tot: 0.00 μB per atom

```
Na2ScNbSn
1.0
5.264 0.000 0.000
0.000 5.264 0.000
0.000 0.000 5.335
Na Sn Nb Sc
2 1 1 1
Direct
0.000 0.500 0.000
0.500 0.000 0.000
0.000 0.000 0.500
0.000 0.000 0.000
0.500 0.500 0.500
```